(1)
Density functional theory data (GGA-PBE) for crystalline SrZnPCl2 at its relaxed geometry.

Computed properties:
size of the total moment: 2.24 μB/f.u.
formation energy without anion corrections: -0.43 eV/atom

CIF file:
```
data_SrZnPCl2
_symmetry_space_group_name_H-M 'P 4/m m m'
_symmetry_Int_Tables_number 123
_symmetry_space_group_name_Hall '-P 4 2'
_cell_length_a 5.567
_cell_length_b 5.567
_cell_length_c 6.381
_cell_angle_alpha 90.00
_cell_angle_beta 90.00
_cell_angle_gamma 90.00
loop_
_atom_site_label
_atom_site_type_symbol
_atom_site_fract_x
_atom_site_fract_y
_atom_site_fract_z
Sr1 Sr 0.000 0.000 0.000
Zn1 Zn 0.500 0.500 0.500
P1 P 0.000 0.000 0.500
Cl1 Cl 0.000 0.500 0.000
```

***

(2)
Density functional theory data (GGA-PBE) for crystalline LiUPt3 at its relaxed geometry.

Computed properties:
total energy: -6.90 eV per atom
size of the total moment: 1.58 μB/f.u.

CIF file:
```
data_LiUPt3
_symmetry_space_group_name_H-M 'P 1 21/c 1'
_symmetry_Int_Tables_number 14
_cell_length_a 7.051
_cell_length_b 5.688
_cell_length_c 9.808
_cell_angle_alpha 90.00
_cell_angle_beta 119.15
_cell_angle_gamma 90.00
loop_
_symmetry_equiv_pos_as_xyz
'x,y,z'
'-x,-y,-z'
'-x,y+1/2,-z+1/2'
'x,-y+1/2,z+1/2'
loop_
_atom_site_label
_atom_site_type_symbol
_atom_site_fract_x
_atom_site_fract_y
_atom_site_fract_z
Li1 Li 0.163 0.125 0.018
U1 U 0.391 0.644 0.845
Pt1 Pt 0.002 0.114 0.247
Pt2 Pt 0.198 0.621 0.049
Pt3 Pt 0.390 0.143 0.838
```